## Y2Ta4Fe3N3 (PBE-GGA)

Data for a relaxed structure of Y2Ta4Fe3N3.

a = 5.431 Å, b = 5.431 Å, c = 13.629 Å
α = 90.19°, β = 101.32°, γ = 119.93°
Each line ends with the local moment (μB).
Element x y z (fractional)
1 Fe 0.834 0.088 0.250  1.41
2 Fe 0.331 0.081 0.250  1.48
3 Fe 0.339 0.585 0.250  1.41
4 Fe 0.661 0.415 0.750  1.41
5 Fe 0.669 0.919 0.750  1.48
6 Fe 0.166 0.912 0.750  1.41
7 N 0.331 0.163 0.000  0.00
8 N 0.000 0.500 0.000  -0.01
9 N 0.669 0.837 0.000  0.00
10 N 0.662 0.331 0.500  0.00
11 N 0.000 0.000 0.500  -0.01
12 N 0.338 0.669 0.500  0.00
13 Ta 0.068 0.203 0.091  -0.14
14 Ta 0.397 0.860 0.091  -0.14
15 Ta 0.269 0.306 0.409  -0.14
16 Ta 0.612 0.977 0.409  -0.14
17 Ta 0.388 0.023 0.591  -0.14
18 Ta 0.731 0.694 0.591  -0.14
19 Ta 0.603 0.140 0.909  -0.14
20 Ta 0.932 0.797 0.909  -0.14
21 Y 0.749 0.543 0.124  -0.09
22 Y 0.919 0.625 0.376  -0.10
23 Y 0.081 0.375 0.624  -0.10
24 Y 0.251 0.457 0.876  -0.09

Calculated values
Electronic total energy in eV for the cell shown: -237.117
Space-group type: C2/c (15)

## Ta4ZnFeN2 (PBE-GGA)

Data for a relaxed structure of Ta4ZnFeN2.

a = 3.062 Å, b = 3.062 Å, c = 13.405 Å
α = 90.00°, β = 90.00°, γ = 120.00°
Each line ends with the local moment (μB).
Element x y z (fractional)
1 Fe 0.000 0.000 0.000  1.29
2 N 0.333 0.667 0.241  -0.01
3 N 0.333 0.667 0.759  -0.01
4 Ta 0.667 0.333 0.147  -0.08
5 Ta 0.000 0.000 0.335  -0.02
6 Ta 0.000 0.000 0.665  -0.02
7 Ta 0.667 0.333 0.853  -0.09
8 Zn 0.667 0.333 0.500  0.00

Calculated values
Electronic total energy in eV for the cell shown: -77.544
Space-group type: P-6m2 (187)

## Zr4Ta2Fe3N3 (PBE-GGA)

Data for a relaxed structure of Zr4Ta2Fe3N3.

a = 5.418 Å, b = 5.418 Å, c = 13.576 Å
α = 101.52°, β = 101.52°, γ = 59.54°
Each line ends with the local moment (μB).
Element x y z (fractional)
1 Fe 0.584 0.957 0.250  -0.52
2 Fe 0.120 0.880 0.250  -0.45
3 Fe 0.043 0.416 0.250  -0.57
4 Fe 0.957 0.584 0.750  -0.57
5 Fe 0.880 0.120 0.750  -0.45
6 Fe 0.416 0.043 0.750  -0.52
7 N 0.500 0.000 0.000  0.00
8 N 0.195 0.652 0.000  0.00
9 N 0.348 0.805 0.500  0.00
10 N 0.000 0.500 0.500  0.00
11 N 0.652 0.195 0.500  0.00
12 N 0.805 0.348 0.000  0.00
13 Ta 0.544 0.381 0.133  0.13
14 Ta 0.619 0.456 0.367  0.13
15 Ta 0.381 0.544 0.633  0.13
16 Ta 0.456 0.619 0.867  0.13
17 Zr 0.201 0.026 0.094  0.05
18 Zr 0.862 0.695 0.095  0.05
19 Zr 0.305 0.138 0.405  0.05
20 Zr 0.974 0.799 0.406  0.05
21 Zr 0.026 0.201 0.594  0.05
22 Zr 0.695 0.862 0.595  0.05
23 Zr 0.138 0.305 0.905  0.05
24 Zr 0.799 0.974 0.906  0.05

Calculated values
Electronic total energy in eV for the cell shown: -227.596
Space-group type: C2/c (15)

## Tb2Fe17N3 (PBE-GGA)

Data for a relaxed structure of Tb2Fe17N3.

a = 6.495 Å, b = 6.495 Å, c = 6.495 Å
α = 83.05°, β = 83.05°, γ = 83.05°
Each line ends with the local moment (μB).
Element x y z (fractional)
1 Fe 0.500 0.000 0.000  2.37
2 Fe 0.718 0.282 0.000  2.04
3 Fe 0.000 0.500 0.000  2.40
4 Fe 0.282 0.718 0.000  2.04
5 Fe 0.094 0.094 0.094  2.56
6 Fe 0.657 0.657 0.144  2.32
7 Fe 0.718 0.000 0.282  2.07
8 Fe 0.000 0.718 0.282  2.02
9 Fe 0.856 0.343 0.343  2.28
10 Fe 0.343 0.856 0.343  2.30
11 Fe 0.000 0.000 0.500  2.42
12 Fe 0.657 0.144 0.657  2.30
13 Fe 0.144 0.657 0.657  2.28
14 Fe 0.282 0.000 0.718  2.07
15 Fe 0.000 0.282 0.718  2.02
16 Fe 0.343 0.343 0.856  2.32
17 Fe 0.906 0.906 0.906  2.56
18 N 0.500 0.500 0.000  0.01
19 N 0.500 0.000 0.500  0.03
20 N 0.000 0.500 0.500  0.01
21 Tb 0.341 0.341 0.341  -0.26
22 Tb 0.659 0.659 0.659  -0.26

Calculated values
Electronic total energy in eV for the cell shown: -180.571
Space-group type: R-3m (166)

## Th2Fe17N3 (PBE-GGA)

Data for a relaxed structure of Th2Fe17N3.

a = 6.547 Å, b = 6.547 Å, c = 6.547 Å
α = 96.57°, β = 83.43°, γ = 96.57°
Each line ends with the local moment (μB).
Element x y z (fractional)
1 Fe 0.500 0.000 0.000  2.42
2 Fe 0.280 0.280 0.000  2.15
3 Fe 0.000 0.500 0.000  2.41
4 Fe 0.720 0.720 0.000  2.15
5 Fe 0.094 0.906 0.094  2.56
6 Fe 0.659 0.341 0.144  2.33
7 Fe 0.000 0.280 0.280  2.17
8 Fe 0.720 0.000 0.280  2.16
9 Fe 0.856 0.659 0.341  2.30
10 Fe 0.341 0.144 0.341  2.29
11 Fe 0.000 0.000 0.500  2.47
12 Fe 0.144 0.341 0.659  2.30
13 Fe 0.659 0.856 0.659  2.29
14 Fe 0.000 0.720 0.720  2.17
15 Fe 0.280 0.000 0.720  2.16
16 Fe 0.341 0.659 0.856  2.33
17 Fe 0.906 0.094 0.906  2.56
18 N 0.500 0.500 0.000  0.03
19 N 0.000 0.500 0.500  0.04
20 N 0.500 0.000 0.500  0.03
21 Th 0.343 0.657 0.343  -0.21
22 Th 0.657 0.343 0.657  -0.21

Calculated values
Electronic total energy in eV for the cell shown: -186.338
Space-group type: R-3m (166)

## TlFe3N5 (PBE-GGA)

Data for a relaxed structure of TlFe3N5.

a = 4.642 Å, b = 4.642 Å, c = 5.887 Å
α = 90.00°, β = 90.00°, γ = 120.00°
Each line ends with the local moment (μB).
Element x y z (fractional)
1 Fe 0.500 0.000 0.500  1.30
2 Fe 0.000 0.500 0.500  1.68
3 Fe 0.500 0.500 0.500  1.26
4 N 0.667 0.333 0.278  0.00
5 N 0.333 0.667 0.278  -0.01
6 N 0.000 0.000 0.500  -0.22
7 N 0.667 0.333 0.722  -0.01
8 N 0.333 0.667 0.722  0.00
9 Tl 0.000 0.000 0.000  -0.02

Calculated values
Electronic total energy in eV for the cell shown: -60.514
Space-group type: P6/mmm (191)